No. 1
{
  "formula": "Li3Mn2O5",
  "functional": "PBE with a Hubbard U",
  "state": "optimized geometry",
  "polymorph_energy_mev_per_atom": 0,
  "space_group": "P-1, No. 2",
  "lattice": [[5.2628, -0.0132, 0.0061], [-2.0155, 5.6007, 0.0019], [-0.6346, -1.9508, 6.1851]],
  "species": ["O", "O", "O", "O", "O", "O", "O", "O", "O", "O", "Mn", "Mn", "Mn", "Mn", "Li", "Li", "Li", "Li", "Li", "Li"],
  "frac_coords": [[0.5194, 0.7575, 0.9873], [0.1168, 0.4190, 0.2041], [0.6763, 0.1618, 0.3747], [0.3237, 0.8382, 0.6253], [0.4806, 0.2425, 0.0127], [0.8832, 0.5810, 0.7959], [0.3270, 0.3596, 0.5922], [0.6730, 0.6404, 0.4078], [0.1204, 0.9604, 0.1991], [0.8796, 0.0396, 0.8009], [0.4010, 0.3002, 0.3021], [0.8020, 0.1055, 0.1025], [0.5990, 0.6998, 0.6979], [0.1980, 0.8945, 0.8975], [0.2137, 0.3955, 0.9019], [0.0000, 0.5000, 0.5000], [0.0000, 0.0000, 0.5000], [0.6119, 0.2051, 0.6900], [0.3881, 0.7949, 0.3100], [0.7863, 0.6045, 0.0981]]
}

No. 2
{
  "formula": "Li7Mn5O12",
  "functional": "PBE with a Hubbard U",
  "state": "optimized geometry",
  "polymorph_energy_mev_per_atom": 29,
  "space_group": "C2/m, No. 12",
  "lattice": [[3.5061, -7.0671, 1.4746], [5.0164, -6.2090, -0.8339], [10.0130, -1.2517, 6.0853]],
  "species": ["Li", "Li", "Li", "Li", "Li", "Li", "Li", "O", "O", "O", "O", "O", "O", "O", "O", "O", "O", "O", "O", "Mn", "Mn", "Mn", "Mn", "Mn"],
  "frac_coords": [[0.3462, 0.3462, 0.2407], [0.6538, 0.6538, 0.7593], [0.9953, 0.9953, 0.7580], [0.3296, 0.3296, 0.7484], [0.0047, 0.0047, 0.2420], [0.6704, 0.6704, 0.2516], [0.0000, 0.0000, 0.0000], [0.5207, 0.5207, 0.1128], [0.1735, 0.1735, 0.3829], [0.1765, 0.1765, 0.1058], [0.8265, 0.8265, 0.6171], [0.4928, 0.4928, 0.6179], [0.1692, 0.1692, 0.8876], [0.4793, 0.4793, 0.8872], [0.8308, 0.8308, 0.1124], [0.1597, 0.1597, 0.6197], [0.5072, 0.5072, 0.3821], [0.8403, 0.8403, 0.3803], [0.8235, 0.8235, 0.8942], [0.6615, 0.6615, 0.0029], [0.3385, 0.3385, 0.9971], [0.3340, 0.3340, 0.4986], [0.6660, 0.6660, 0.5014], [0.0000, 0.0000, 0.5000]]
}

No. 3
{
  "formula": "LiMnO2",
  "functional": "PBE with a Hubbard U",
  "state": "optimized geometry",
  "dft_energy_ev_per_atom": -6.58,
  "space_group": "C2/m, No. 12",
  "lattice": [[5.9781, 0.0088, -0.0081], [3.0335, 5.1513, -0.0081], [2.9367, 1.6816, 4.8618]],
  "species": ["Li", "Li", "Li", "Li", "O", "O", "O", "O", "O", "O", "O", "O", "Mn", "Mn", "Mn", "Mn"],
  "frac_coords": [[0.5000, 0.0000, 0.0000], [0.5000, 0.5000, 0.0000], [0.0000, 0.5000, 0.0000], [0.0000, 0.0000, 0.5000], [0.7361, 0.7361, 0.2522], [0.2499, 0.2499, 0.2854], [0.2581, 0.7707, 0.7422], [0.7707, 0.2581, 0.7422], [0.2293, 0.7419, 0.2578], [0.7419, 0.2293, 0.2578], [0.2639, 0.2639, 0.7478], [0.7501, 0.7501, 0.7146], [0.5000, 0.5000, 0.5000], [0.5000, 0.0000, 0.5000], [0.0000, 0.5000, 0.5000], [0.0000, 0.0000, 0.0000]]
}

No. 4
{
  "formula": "Li5MnO4",
  "functional": "PBE with a Hubbard U",
  "state": "optimized geometry",
  "polymorph_energy_mev_per_atom": 22,
  "space_group": "Pmn2_1, No. 31",
  "lattice": [[-4.9439, -0.3844, -0.9393], [0.9721, -3.4510, -3.7044], [-0.5145, -5.4429, 4.9356]],
  "species": ["O", "O", "O", "O", "O", "O", "O", "O", "Li", "Li", "Li", "Li", "Li", "Li", "Li", "Li", "Li", "Li", "Mn", "Mn"],
  "frac_coords": [[0.6009, 0.2422, 0.2589], [0.1009, 0.7578, 0.7589], [0.6009, 0.2422, 0.7411], [0.1009, 0.7578, 0.2411], [0.1335, 0.2996, 0.5000], [0.6150, 0.8064, 0.5000], [0.1150, 0.1936, 0.0000], [0.6335, 0.7004, 0.0000], [0.7737, 0.5833, 0.3135], [0.2737, 0.4167, 0.8135], [0.4428, 0.9182, 0.1760], [0.9428, 0.0818, 0.3240], [0.9428, 0.0818, 0.6760], [0.7737, 0.5833, 0.6865], [0.2737, 0.4167, 0.1865], [0.4428, 0.9182, 0.8240], [0.7272, 0.3322, 0.0000], [0.2272, 0.6678, 0.5000], [0.4813, 0.1526, 0.5000], [0.9813, 0.8474, 0.0000]]
}

no.,total magnetic moment (μB per atom),ρ (g/cm³)
1,0.700,3.84
2,0.750,3.87
3,1.000,4.16
4,0.400,2.66